# PBE-GGA CeDyHo14, relaxed
data_CeDyHo14
_cell_length_a 7.049
_cell_length_b 7.049
_cell_length_c 9.974
_cell_angle_alpha 90.00
_cell_angle_beta 90.00
_cell_angle_gamma 90.00
_symmetry_space_group_name_H-M 'P 1'
_symmetry_Int_Tables_number 1
_symmetry_space_group_name_Hall 'P 1'
loop_
_atom_site_label
_atom_site_type_symbol
_atom_site_fract_x
_atom_site_fract_y
_atom_site_fract_z
_atom_site_occupancy
Dy1 Dy 0.375 0.625 0.000 1
Ho1 Ho 0.375 0.625 0.500 1
Ho2 Ho 0.626 0.876 0.750 1
Ho3 Ho 0.626 0.876 0.250 1
Ho4 Ho 0.124 0.374 0.250 1
Ho5 Ho 0.875 0.125 0.500 1
Ho6 Ho 0.875 0.625 0.000 1
Ho7 Ho 0.124 0.374 0.750 1
Ho8 Ho 0.375 0.125 0.000 1
Ho9 Ho 0.626 0.374 0.250 1
Ho10 Ho 0.626 0.374 0.750 1
Ho11 Ho 0.875 0.625 0.500 1
Ho12 Ho 0.124 0.876 0.750 1
Ho13 Ho 0.124 0.876 0.250 1
Ho14 Ho 0.375 0.125 0.500 1
Ce1 Ce 0.875 0.125 0.000 1
# **Space group**: P4/mmm
# **Total magnetic moment**: 0.9 μB/f.u.
# **Energy of formation from the pure elements**: 0.5 eV per formula unit